Record 1
Below is a relaxed NaVCd crystal, with properties calculated at the PBE level.

```
data_NaVCd
_cell_length_a 4.9844
_cell_length_b 8.6788
_cell_length_c 5.9673
_cell_angle_alpha 90.00
_cell_angle_beta 90.00
_cell_angle_gamma 90.00
_symmetry_space_group_name_H-M 'C m c m'
_symmetry_Int_Tables_number 63
_symmetry_space_group_name_Hall '-C 2c 2'
loop_
_atom_site_label
_atom_site_type_symbol
_atom_site_fract_x
_atom_site_fract_y
_atom_site_fract_z
_atom_site_occupancy
Na1 Na 0.0000 0.1668 0.2500 1
V1 V 0.0000 0.1658 0.7500 1
Cd1 Cd 0.0000 0.5000 0.0000 1
```

Properties
Total magnetic moment: 3.77 μB/f.u.
E: -3.023 eV/atom
Calculated volume: 21.51 Å³/atom
Offset from the most stable computed form: 607 meV/atom
DFT formation energy: 0.761 eV per atom
Crystal system: orthorhombic


Record 2
Below is a relaxed BaCoHg2 crystal, with properties calculated at the PBE level.

```
data_BaCoHg2
_cell_length_a 4.6882
_cell_length_b 4.6882
_cell_length_c 5.0118
_cell_angle_alpha 90.00
_cell_angle_beta 90.00
_cell_angle_gamma 90.00
_symmetry_space_group_name_H-M 'P 4/m m m'
_symmetry_Int_Tables_number 123
_symmetry_space_group_name_Hall '-P 4 2'
loop_
_atom_site_label
_atom_site_type_symbol
_atom_site_fract_x
_atom_site_fract_y
_atom_site_fract_z
_atom_site_occupancy
Ba1 Ba 0.0000 0.0000 0.0000 1
Co1 Co 0.5000 0.5000 0.0000 1
Hg1 Hg 0.0000 0.5000 0.5000 1
```

Properties
Total magnetic moment: 1.36 μB/f.u.
E: -2.114 eV/atom
Calculated volume: 27.54 Å³/atom
DFT formation energy: 0.294 eV per atom
Crystal system: tetragonal


Record 3
Below is a relaxed Be3CuOs crystal, with properties calculated at the PBE level.

```
data_Be3CuOs
_cell_length_a 4.1726
_cell_length_b 4.1726
_cell_length_c 4.1726
_cell_angle_alpha 90.00
_cell_angle_beta 90.00
_cell_angle_gamma 90.00
_symmetry_space_group_name_H-M 'P m -3 m'
_symmetry_Int_Tables_number 221
_symmetry_space_group_name_Hall '-P 4 2 3'
loop_
_atom_site_label
_atom_site_type_symbol
_atom_site_fract_x
_atom_site_fract_y
_atom_site_fract_z
_atom_site_occupancy
Be1 Be 0.0000 0.0000 0.5000 1
Cu1 Cu 0.5000 0.5000 0.5000 1
Os1 Os 0.0000 0.0000 0.0000 1
```

Properties
Total magnetic moment: 0.00 μB/f.u.
E: -4.431 eV/atom
Calculated volume: 14.53 Å³/atom
Offset from the most stable computed form: 23 meV/atom
DFT formation energy: 0.870 eV per atom
Crystal system: cubic


Record 4
Below is a relaxed B5C7 crystal, with properties calculated at the PBE level.

```
data_B5C7
_cell_length_a 12.7158
_cell_length_b 2.5295
_cell_length_c 4.9642
_cell_angle_alpha 90.00
_cell_angle_beta 101.19
_cell_angle_gamma 90.00
_symmetry_space_group_name_H-M 'C 1 m 1'
_symmetry_Int_Tables_number 8
_symmetry_space_group_name_Hall 'C -2y'
loop_
_atom_site_label
_atom_site_type_symbol
_atom_site_fract_x
_atom_site_fract_y
_atom_site_fract_z
_atom_site_occupancy
B1 B 0.0000 0.0000 0.0000 1
B2 B 0.0151 0.0000 0.5472 1
B3 B 0.1015 0.5000 0.0467 1
B4 B 0.1829 0.5000 0.3794 1
B5 B 0.4073 0.5000 0.2273 1
C1 C 0.0970 0.5000 0.5824 1
C2 C 0.1881 0.5000 0.8520 1
C3 C 0.2601 0.0000 0.8928 1
C4 C 0.2624 0.0000 0.4010 1
C5 C 0.3282 0.0000 0.1844 1
C6 C 0.3381 0.0000 0.6841 1
C7 C 0.4078 0.5000 0.7194 1
```

Properties
Total magnetic moment: 0.23 μB/f.u.
E: -7.758 eV/atom
Calculated volume: 6.53 Å³/atom
Offset from the most stable computed form: 147 meV/atom
DFT formation energy: 0.405 eV per atom
Crystal system: monoclinic


Record 5
Below is a relaxed Cu2SiIr crystal, with properties calculated at the PBE level.

```
data_Cu2SiIr
_cell_length_a 2.7796
_cell_length_b 4.7190
_cell_length_c 8.2257
_cell_angle_alpha 90.00
_cell_angle_beta 90.00
_cell_angle_gamma 90.00
_symmetry_space_group_name_H-M 'C m m 2'
_symmetry_Int_Tables_number 35
_symmetry_space_group_name_Hall 'C 2 -2'
loop_
_atom_site_label
_atom_site_type_symbol
_atom_site_fract_x
_atom_site_fract_y
_atom_site_fract_z
_atom_site_occupancy
Cu1 Cu 0.0000 0.0000 0.0000 1
Cu2 Cu 0.0000 0.5000 0.2501 1
Si1 Si 0.0000 0.0000 0.4893 1
Ir1 Ir 0.0000 0.5000 0.7270 1
```

Properties
Total magnetic moment: 0.00 μB/f.u.
E: -5.551 eV/atom
Calculated volume: 13.49 Å³/atom
ΔE_f (raw): 67.7 meV/atom
Crystal system: orthorhombic


Record 6
Below is a relaxed GaHg3Mo crystal, with properties calculated at the PBE level.

```
data_GaHg3Mo
_cell_length_a 5.3947
_cell_length_b 5.3947
_cell_length_c 5.3947
_cell_angle_alpha 90.00
_cell_angle_beta 90.00
_cell_angle_gamma 90.00
_symmetry_space_group_name_H-M 'P m -3 m'
_symmetry_Int_Tables_number 221
_symmetry_space_group_name_Hall '-P 4 2 3'
loop_
_atom_site_label
_atom_site_type_symbol
_atom_site_fract_x
_atom_site_fract_y
_atom_site_fract_z
_atom_site_occupancy
Ga1 Ga 0.0000 0.0000 0.0000 1
Hg1 Hg 0.0000 0.5000 0.5000 1
Mo1 Mo 0.5000 0.5000 0.5000 1
```

Properties
Total magnetic moment: 2.21 μB/f.u.
E: -2.097 eV/atom
Calculated volume: 31.40 Å³/atom
Offset from the most stable computed form: 0 meV/atom
DFT formation energy: 0.855 eV per atom
Crystal system: cubic


Record 7
Below is a relaxed FeRhS crystal, with properties calculated at the PBE level.

```
data_FeRhS
_cell_length_a 3.6559
_cell_length_b 5.4347
_cell_length_c 3.9315
_cell_angle_alpha 90.00
_cell_angle_beta 90.00
_cell_angle_gamma 90.00
_symmetry_space_group_name_H-M 'P m n 21'
_symmetry_Int_Tables_number 31
_symmetry_space_group_name_Hall 'P 2ac -2'
loop_
_atom_site_label
_atom_site_type_symbol
_atom_site_fract_x
_atom_site_fract_y
_atom_site_fract_z
_atom_site_occupancy
Fe1 Fe 0.0000 0.0263 0.0000 1
Rh1 Rh 0.0000 0.5348 0.0925 1
S1 S 0.0000 0.2049 0.4963 1
```

Properties
Total magnetic moment: 0.00 μB/f.u.
E: -6.832 eV/atom
Calculated volume: 13.02 Å³/atom
ΔE_f (raw): -184.7 meV/atom
Offset from the most stable computed form: 16 meV/atom
Crystal system: orthorhombic


Record 8
Below is a relaxed AcNd2Cd6 crystal, with properties calculated at the PBE level.

```
data_AcNd2Cd6
_cell_length_a 8.8700
_cell_length_b 8.8700
_cell_length_c 3.5959
_cell_angle_alpha 90.00
_cell_angle_beta 90.00
_cell_angle_gamma 120.00
_symmetry_space_group_name_H-M 'P 6/m m m'
_symmetry_Int_Tables_number 191
_symmetry_space_group_name_Hall '-P 6 2'
loop_
_atom_site_label
_atom_site_type_symbol
_atom_site_fract_x
_atom_site_fract_y
_atom_site_fract_z
_atom_site_occupancy
Ac1 Ac 0.0000 0.0000 0.0000 1
Nd1 Nd 0.3333 0.6667 0.0000 1
Cd1 Cd 0.0000 0.3380 0.5000 1
```

Properties
Total magnetic moment: 0.24 μB/f.u.
E: -2.455 eV/atom
Calculated volume: 27.22 Å³/atom
DFT formation energy: -0.329 eV per atom
Crystal system: hexagonal


What is the formula in the eighth record?
AcNd2Cd6


Look up the E of the seventh one.
-6.832 eV/atom


What is the formula in the fifth record?
Cu2SiIr